Record 1
# Rb2Bi2F7 PBE-GGA optimized geometry
data_Rb2Bi2F7
_cell_length_a 8.134
_cell_length_b 8.816
_cell_length_c 6.318
_cell_angle_alpha 90.00
_cell_angle_beta 90.00
_cell_angle_gamma 90.00
_space_group_name_H-M_alt 'C m m m'
_space_group_IT_number 65
_space_group_name_Hall '-C 2 2'
loop_
_atom_site_label
_atom_site_type_symbol
_atom_site_fract_x
_atom_site_fract_y
_atom_site_fract_z
_atom_site_occupancy
Rb1 Rb 0.245 0.000 0.000 1
Bi1 Bi 0.000 0.270 0.500 1
F1 F 0.000 0.000 0.500 1
F2 F 0.000 0.500 0.296 1
F3 F 0.250 0.250 0.289 1
# formation energy (no corrections): -2.3916 eV per atom

Record 2
# Ho3AlTl3Se8 PBE-GGA optimized geometry
data_Ho3AlTl3Se8
_cell_length_a 14.151
_cell_length_b 8.169
_cell_length_c 9.002
_cell_angle_alpha 90.00
_cell_angle_beta 121.67
_cell_angle_gamma 90.00
_space_group_name_H-M_alt 'C 1 2/m 1'
_space_group_IT_number 12
_space_group_name_Hall '-C 2y'
loop_
_atom_site_label
_atom_site_type_symbol
_atom_site_fract_x
_atom_site_fract_y
_atom_site_fract_z
_atom_site_occupancy
Ho1 Ho 0.000 0.000 0.000 1
Ho2 Ho 0.250 0.250 0.000 1
Al1 Al 0.000 0.500 0.000 1
Tl1 Tl 0.000 0.500 0.500 1
Tl2 Tl 0.250 0.250 0.500 1
Se1 Se 0.012 0.269 0.806 1
Se2 Se 0.219 0.500 0.194 1
Se3 Se 0.236 0.000 0.208 1
# formation energy (no corrections): -1.1848 eV per atom

Record 3
# Ca2Cu2Rh PBE-GGA optimized geometry
data_Ca2Cu2Rh
_cell_length_a 3.423
_cell_length_b 3.423
_cell_length_c 17.264
_cell_angle_alpha 90.00
_cell_angle_beta 90.00
_cell_angle_gamma 90.00
_space_group_name_H-M_alt 'I 4/m m m'
_space_group_IT_number 139
_space_group_name_Hall '-I 4 2'
loop_
_atom_site_label
_atom_site_type_symbol
_atom_site_fract_x
_atom_site_fract_y
_atom_site_fract_z
_atom_site_occupancy
Ca1 Ca 0.000 0.000 0.099 1
Cu1 Cu 0.000 0.500 0.250 1
Rh1 Rh 0.000 0.000 0.500 1
# E_form: -0.130 eV/atom
# relative energy among the computed polymorphs: 137 meV per atom

Record 4
# Dy2ZnIn2 PBE-GGA optimized geometry
data_Dy2ZnIn2
_cell_length_a 3.504
_cell_length_b 4.630
_cell_length_c 14.933
_cell_angle_alpha 90.00
_cell_angle_beta 90.00
_cell_angle_gamma 90.00
_space_group_name_H-M_alt 'A m m 2'
_space_group_IT_number 38
_space_group_name_Hall 'A 2 -2'
loop_
_atom_site_label
_atom_site_type_symbol
_atom_site_fract_x
_atom_site_fract_y
_atom_site_fract_z
_atom_site_occupancy
Dy1 Dy 0.000 0.000 0.000 1
Dy2 Dy 0.000 0.000 0.233 1
Zn1 Zn 0.500 0.000 0.418 1
In1 In 0.500 0.000 0.612 1
In2 In 0.500 0.000 0.820 1
# E_form: -0.420 eV/atom
# relative energy among the computed polymorphs: 0 meV per atom

Record 5
# AcPmPuCd PBE-GGA optimized geometry
data_AcPmPuCd
_cell_length_a 8.007
_cell_length_b 8.007
_cell_length_c 8.007
_cell_angle_alpha 90.00
_cell_angle_beta 90.00
_cell_angle_gamma 90.00
_space_group_name_H-M_alt 'F -4 3 m'
_space_group_IT_number 216
_space_group_name_Hall 'F -4 2 3'
loop_
_atom_site_label
_atom_site_type_symbol
_atom_site_fract_x
_atom_site_fract_y
_atom_site_fract_z
_atom_site_occupancy
Ac1 Ac 0.000 0.000 0.000 1
Pm1 Pm 0.000 0.000 0.500 1
Pu1 Pu 0.250 0.250 0.750 1
Cd1 Cd 0.250 0.250 0.250 1
# E_form: 0.102 eV/atom

Record 6
# Cs2YPb PBE-GGA optimized geometry
data_Cs2YPb
_cell_length_a 14.460
_cell_length_b 14.460
_cell_length_c 5.969
_cell_angle_alpha 90.00
_cell_angle_beta 90.00
_cell_angle_gamma 90.00
_space_group_name_H-M_alt 'I -4 2 d'
_space_group_IT_number 122
_space_group_name_Hall 'I -4 2bw'
loop_
_atom_site_label
_atom_site_type_symbol
_atom_site_fract_x
_atom_site_fract_y
_atom_site_fract_z
_atom_site_occupancy
Cs1 Cs 0.097 0.250 0.125 1
Y1 Y 0.000 0.000 0.500 1
Pb1 Pb 0.000 0.000 0.000 1
# E_form: 0.282 eV/atom
# relative energy among the computed polymorphs: 0 meV per atom

no.,D(E_F) (states/eV/atom)
1,0.21
2,0.37
3,0.35
4,0.78
5,4.21
6,0.85